# MoI2NF (PBE+U, optimized geometry)
data_MoI2NF
_space_group_name_H-M_alt 'P 4/m m m'
_space_group_IT_number 123
_space_group_name_Hall '-P 4 2'
_cell_length_a 6.003
_cell_length_b 6.003
_cell_length_c 3.390
_cell_angle_alpha 90.00
_cell_angle_beta 90.00
_cell_angle_gamma 90.00
loop_
_atom_site_label
_atom_site_fract_x
_atom_site_fract_y
_atom_site_fract_z
Mo1 0.000 0.000 0.000
I1 0.000 0.500 0.500
N1 0.500 0.500 0.000
F1 0.500 0.500 0.500
# VASP energy in eV for the cell shown: -13.8
# ΔE to the lowest computed polymorph in kJ per mole of atoms: 93.0